DFT (PBE+U) results for a relaxed Ca2SbWO6 crystal.

**V**: 13.65 Å³/atom
**VASP energy**: -6.751 eV per atom

Structure (POSCAR):
```
Ca2SbWO6
1.0
-1.9798 -5.4869 0.9567
4.7654 -1.2420 2.7386
1.3178 1.2256 9.7560
Ca Sb W O
4 2 2 12
Direct
0.5552 0.7421 0.2468
0.0552 0.2579 0.2532
0.4448 0.2579 0.7532
0.9448 0.7421 0.7468
0.5000 0.0000 0.5000
0.0000 0.0000 0.0000
0.5000 0.5000 0.0000
0.0000 0.5000 0.5000
0.7888 0.6036 0.0720
0.2888 0.3964 0.4280
0.2112 0.3964 0.9280
0.7112 0.6036 0.5720
0.6735 0.2638 0.9484
0.1735 0.7362 0.5516
0.3265 0.7362 0.0516
0.8265 0.2638 0.4484
0.9393 0.8516 0.2669
0.4393 0.1484 0.2331
0.5607 0.8516 0.7669
0.0607 0.1484 0.7331
```